[1]
Density functional theory data (GGA-PBE) for a relaxed LiTa2Fe crystal.

abc: 6.9056 6.9056 5.5875
angles: 51.83 51.83 90.00
Fractional positions:
Li: 0.5000 0.5000 0.0000
Li: 0.2500 0.7500 0.5000
Fe: 0.0000 0.0000 0.0000
Fe: 0.7500 0.2500 0.5000
Ta: 0.6620 0.1250 0.2500
Ta: 0.0880 0.6250 0.2500
Ta: 0.3750 0.3380 0.7500
Ta: 0.8750 0.9120 0.7500

Results
Total moment in μB per cell: 0.0
Relative energy among the computed polymorphs in meV/atom: 386
E_form in eV/atom: 0.59
D(E_F) in states/eV/f.u.: 3.3

=====

[2]
Density functional theory data (GGA-PBE) for a relaxed Li3TaFe crystal.

abc: 4.1321 4.1321 4.1321
angles: 90.00 90.00 90.00
Fractional positions:
Li: 0.0000 0.5000 0.0000
Li: 0.0000 0.0000 0.5000
Li: 0.5000 0.0000 0.0000
Fe: 0.0000 0.0000 0.0000
Ta: 0.5000 0.5000 0.5000

Results
Total moment in μB per cell: 0.0
E_form in eV/atom: 1.31
D(E_F) in states/eV/f.u.: 2.6

=====

[3]
Density functional theory data (GGA-PBE) for a relaxed LiTa2Fe crystal.

abc: 9.1226 9.1226 9.1226
angles: 18.49 18.49 18.49
Site moments in Bohr magnetons follow the coordinates.
Fractional positions:
Fe: 0.5048 0.5048 0.5048  1.19
Li: 0.7588 0.7588 0.7588  -0.01
Ta: 0.9975 0.9975 0.9975  -0.07
Ta: 0.2388 0.2388 0.2388  -0.18

Results
Total moment in μB per cell: 0.8
Relative energy among the computed polymorphs in meV/atom: 171
E_form in eV/atom: 0.37
D(E_F) in states/eV/f.u.: 3.9

=====

[4]
Density functional theory data (GGA-PBE) for a relaxed LiTa2Fe2 crystal.

abc: 7.1366 7.1366 2.9231
angles: 90.00 90.00 90.00
Fractional positions:
Li: 0.0000 0.0000 0.0000
Li: 0.5000 0.5000 0.0000
Fe: 0.3611 0.8611 0.0000
Fe: 0.8611 0.6389 0.0000
Fe: 0.6389 0.1389 0.0000
Fe: 0.1389 0.3611 0.0000
Ta: 0.1554 0.6554 0.5000
Ta: 0.6554 0.8446 0.5000
Ta: 0.8446 0.3446 0.5000
Ta: 0.3446 0.1554 0.5000

Results
Total moment in μB per cell: 0.0
Relative energy among the computed polymorphs in meV/atom: 0
E_form in eV/atom: 0.09
D(E_F) in states/eV/f.u.: 4.7

=====

[5]
Density functional theory data (GGA-PBE) for a relaxed LiTaFe crystal.

abc: 7.0903 6.9330 2.6907
angles: 82.25 75.67 22.09
Site moments in Bohr magnetons follow the coordinates.
Fractional positions:
Fe: 0.0021 0.0021 0.9979  2.35
Li: 0.3443 0.3443 0.6557  -0.03
Ta: 0.6536 0.6536 0.3464  -0.06

Results
Total moment in μB per cell: 2.2
Relative energy among the computed polymorphs in meV/atom: 35
E_form in eV/atom: 0.30
D(E_F) in states/eV/f.u.: 2.3

=====

[6]
Density functional theory data (GGA-PBE) for a relaxed LiTa2Fe crystal.

abc: 4.3425 4.3425 4.3425
angles: 60.00 60.00 60.00
Fractional positions:
Li: 0.0000 0.0000 0.0000
Fe: 0.5000 0.5000 0.5000
Ta: 0.2500 0.2500 0.2500
Ta: 0.7500 0.7500 0.7500

Results
Total moment in μB per cell: 0.0
Relative energy among the computed polymorphs in meV/atom: 0
E_form in eV/atom: 0.20
D(E_F) in states/eV/f.u.: 5.1

=====

[7]
Density functional theory data (GGA-PBE) for a relaxed LiTa2Fe crystal.

abc: 2.7899 2.7899 8.5671
angles: 90.00 90.00 91.69
Fractional positions:
Fe: 0.5000 0.5000 0.2500
Li: 0.5000 0.5000 0.7500
Ta: 0.0000 0.0000 0.0502
Ta: 0.0000 0.0000 0.4498

Results
Total moment in μB per cell: 0.0
Relative energy among the computed polymorphs in meV/atom: 59
E_form in eV/atom: 0.26
D(E_F) in states/eV/f.u.: 3.8

=====

[8]
Density functional theory data (GGA-PBE) for a relaxed LiTa2Fe crystal.

abc: 9.3869 9.3869 9.3869
angles: 17.64 17.64 17.64
Site moments in Bohr magnetons follow the coordinates.
Fractional positions:
Fe: 0.2500 0.2500 0.2500  1.60
Li: 0.7500 0.7500 0.7500  0.00
Ta: 0.9901 0.9901 0.9901  -0.08
Ta: 0.5099 0.5099 0.5099  -0.08

Results
Total moment in μB per cell: 1.4
Relative energy among the computed polymorphs in meV/atom: 152
E_form in eV/atom: 0.35
D(E_F) in states/eV/f.u.: 4.1

=====

[9]
Density functional theory data (GGA-PBE) for a relaxed LiTa2Fe crystal.

abc: 4.3937 4.3937 4.3937
angles: 60.00 60.00 60.00
Site moments in Bohr magnetons follow the coordinates.
Fractional positions:
Fe: 0.5000 0.5000 0.5000  0.35
Li: 0.7500 0.7500 0.7500  -0.01
Ta: 0.0000 0.0000 0.0000  0.22
Ta: 0.2500 0.2500 0.2500  0.00

Results
Total moment in μB per cell: 0.6
Relative energy among the computed polymorphs in meV/atom: 277
E_form in eV/atom: 0.48
D(E_F) in states/eV/f.u.: 4.9

=====

[10]
Density functional theory data (GGA-PBE) for a relaxed LiTa2Fe crystal.

abc: 5.5361 4.9886 2.7127
angles: 81.89 76.37 119.39
Site moments in Bohr magnetons follow the coordinates.
Fractional positions:
Fe: 0.0000 0.5000 0.5000  1.58
Li: 0.5000 0.5000 0.0000  -0.02
Ta: 0.0000 0.0000 0.0000  -0.12
Ta: 0.5000 0.0000 0.5000  -0.12

Results
Total moment in μB per cell: 1.2
Relative energy among the computed polymorphs in meV/atom: 106
E_form in eV/atom: 0.31
D(E_F) in states/eV/f.u.: 3.1

=====

[11]
Density functional theory data (GGA-PBE) for a relaxed LiTa2Fe crystal.

abc: 4.2770 4.2766 3.1654
angles: 90.00 90.00 90.00
Site moments in Bohr magnetons follow the coordinates.
Fractional positions:
Fe: 0.5000 0.0000 0.5000  0.61
Li: 0.0000 0.5000 0.5000  -0.01
Ta: 0.0000 0.0000 0.0000  -0.04
Ta: 0.5000 0.5000 0.0000  -0.04

Results
Total moment in μB per cell: 0.5
Relative energy among the computed polymorphs in meV/atom: 10
E_form in eV/atom: 0.21
D(E_F) in states/eV/f.u.: 3.1

=====

[12]
Density functional theory data (GGA-PBE) for a relaxed LiTa4Fe crystal.

abc: 5.4221 5.4221 5.4221
angles: 60.00 60.00 60.00
Site moments in Bohr magnetons follow the coordinates.
Fractional positions:
Li: 0.0000 0.0000 0.0000  -0.01
Ta: 0.8744 0.3752 0.3752  -0.09
Ta: 0.3752 0.3752 0.8744  -0.09
Ta: 0.3752 0.8744 0.3752  -0.09
Ta: 0.3752 0.3752 0.3752  -0.09
Fe: 0.7500 0.7500 0.7500  2.72

Results
Total moment in μB per cell: 2.1
E_form in eV/atom: 0.73
D(E_F) in states/eV/f.u.: 6.5

=====

[13]
Density functional theory data (GGA-PBE) for a relaxed LiTa2Fe crystal.

abc: 5.0479 5.0479 5.0479
angles: 137.19 137.19 62.14
Fractional positions:
Fe: 0.5000 0.5000 0.0000
Li: 0.7500 0.2500 0.5000
Ta: 0.0000 0.0000 0.0000
Ta: 0.2500 0.7500 0.5000

Results
Total moment in μB per cell: 0.0
Relative energy among the computed polymorphs in meV/atom: 132
E_form in eV/atom: 0.33
D(E_F) in states/eV/f.u.: 3.7

=====

[14]
Density functional theory data (GGA-PBE) for a relaxed LiTa2Fe crystal.

abc: 3.7998 2.8253 5.9379
angles: 71.38 90.00 90.00
Fractional positions:
Fe: 0.5000 0.2500 0.2500
Li: 0.5000 0.7500 0.7500
Ta: 0.0000 0.0292 0.0206
Ta: 0.0000 0.4708 0.4794

Results
Total moment in μB per cell: 0.0
Relative energy among the computed polymorphs in meV/atom: 75
E_form in eV/atom: 0.28
D(E_F) in states/eV/f.u.: 3.5

=====

[15]
Density functional theory data (GGA-PBE) for a relaxed LiTa2Fe crystal.

abc: 5.2422 5.2422 4.3738
angles: 65.32 65.32 33.77
Fractional positions:
Fe: 0.4947 0.4947 0.5054
Li: 0.2232 0.2232 0.2768
Ta: 0.0034 0.0034 0.9965
Ta: 0.7788 0.7788 0.7212

Results
Total moment in μB per cell: 0.0
Relative energy among the computed polymorphs in meV/atom: 25
E_form in eV/atom: 0.23
D(E_F) in states/eV/f.u.: 2.9

=====

[16]
Density functional theory data (GGA-PBE) for a relaxed LiTaFe crystal.

abc: 2.9365 2.9365 6.4844
angles: 90.00 90.00 120.00
Site moments in Bohr magnetons follow the coordinates.
Fractional positions:
Fe: 0.0000 0.0000 0.9833  1.81
Li: 0.6667 0.3333 0.3138  -0.01
Ta: 0.3333 0.6667 0.7029  -0.14

Results
Total moment in μB per cell: 1.6
Relative energy among the computed polymorphs in meV/atom: 133
E_form in eV/atom: 0.40
D(E_F) in states/eV/f.u.: 1.8

=====

[17]
Density functional theory data (GGA-PBE) for a relaxed LiTa2Fe crystal.

abc: 2.7461 2.7461 9.1904
angles: 90.00 90.00 109.00
Site moments in Bohr magnetons follow the coordinates.
Fractional positions:
Fe: 0.0000 0.0000 0.4939  2.23
Li: 0.5000 0.5000 0.7256  -0.03
Ta: 0.0000 0.0000 0.0064  0.00
Ta: 0.5000 0.5000 0.2741  -0.12

Results
Total moment in μB per cell: 2.0
Relative energy among the computed polymorphs in meV/atom: 40
E_form in eV/atom: 0.24
D(E_F) in states/eV/f.u.: 4.3

=====

[18]
Density functional theory data (GGA-PBE) for a relaxed LiTa2TiFe crystal.

abc: 4.4302 3.9858 4.4302
angles: 90.00 90.00 90.00
Fractional positions:
Ti: 0.0000 0.5000 0.0000
Li: 0.0000 0.0000 0.0000
Fe: 0.5000 0.5000 0.5000
Ta: 0.0000 0.0000 0.5000
Ta: 0.5000 0.0000 0.0000

Results
Total moment in μB per cell: 0.0
E_form in eV/atom: 1.29
D(E_F) in states/eV/f.u.: 6.5

=====

[19]
Density functional theory data (GGA-PBE) for a relaxed LiTb6Fe2 crystal.

abc: 8.4262 8.4262 8.4262
angles: 107.26 110.80 110.38
Site moments in Bohr magnetons follow the coordinates.
Fractional positions:
Li: 0.0000 0.5000 0.5000  -0.01
Li: 0.0000 0.0000 0.0000  0.00
Tb: 0.5251 0.7110 0.8140  -0.14
Tb: 0.4749 0.2890 0.1860  -0.14
Tb: 0.1030 0.2890 0.8140  -0.14
Tb: 0.8970 0.7110 0.1860  -0.14
Tb: 0.7908 0.7794 0.5702  -0.10
Tb: 0.2092 0.2206 0.4298  -0.10
Tb: 0.2092 0.7794 0.9886  -0.10
Tb: 0.7908 0.2206 0.0114  -0.10
Tb: 0.6980 0.3892 0.6912  -0.14
Tb: 0.3020 0.6108 0.3088  -0.14
Tb: 0.3020 0.9932 0.6912  -0.14
Tb: 0.6980 0.0068 0.3088  -0.14
Fe: 0.5000 0.3921 0.8921  1.06
Fe: 0.5000 0.6079 0.1079  1.06
Fe: 0.6159 0.0000 0.6159  1.36
Fe: 0.3841 0.0000 0.3841  1.36

Results
Total moment in μB per cell: 2.9
E_form in eV/atom: 0.01
D(E_F) in states/eV/f.u.: 9.0

=====

[20]
Density functional theory data (GGA-PBE) for a relaxed LiTbTmFe crystal.

abc: 4.8196 4.8196 4.8196
angles: 60.00 60.00 60.00
Fractional positions:
Tm: 0.5000 0.5000 0.5000
Tb: 0.0000 0.0000 0.0000
Fe: 0.7500 0.7500 0.7500
Li: 0.2500 0.2500 0.2500

Results
Total moment in μB per cell: 0.0
E_form in eV/atom: 0.07
D(E_F) in states/eV/f.u.: 2.6

=====

[21]
Density functional theory data (GGA-PBE) for a relaxed LiTbYFe crystal.

abc: 4.8657 4.8657 4.8657
angles: 60.00 60.00 60.00
Fractional positions:
Y: 0.7500 0.7500 0.7500
Tb: 0.2500 0.2500 0.2500
Fe: 0.5000 0.5000 0.5000
Li: 0.0000 0.0000 0.0000

Results
Total moment in μB per cell: 0.0
E_form in eV/atom: 0.10
D(E_F) in states/eV/f.u.: 2.8

=====

[22]
Density functional theory data (GGA-PBE) for a relaxed LiFeTc crystal.

abc: 4.4298 4.4298 4.4298
angles: 147.59 125.29 65.04
Site moments in Bohr magnetons follow the coordinates.
Fractional positions:
Fe: 0.0019 0.0019 0.0000  1.88
Li: 0.6655 0.6655 0.0000  -0.02
Tc: 0.3327 0.3327 0.0000  -0.09

Results
Total moment in μB per cell: 1.7
Relative energy among the computed polymorphs in meV/atom: 62
E_form in eV/atom: 0.28
D(E_F) in states/eV/f.u.: 2.4

=====

[23]
Density functional theory data (GGA-PBE) for a relaxed LiFeTc2 crystal.

abc: 9.1014 9.1014 9.1014
angles: 16.85 16.85 16.85
Site moments in Bohr magnetons follow the coordinates.
Fractional positions:
Fe: 0.2500 0.2500 0.2500  1.53
Li: 0.7500 0.7500 0.7500  0.00
Tc: 0.9932 0.9932 0.9932  -0.16
Tc: 0.5068 0.5068 0.5068  -0.16

Results
Total moment in μB per cell: 1.2
Relative energy among the computed polymorphs in meV/atom: 32
E_form in eV/atom: 0.23
D(E_F) in states/eV/f.u.: 3.6

=====

[24]
Density functional theory data (GGA-PBE) for a relaxed LiFe2Tc crystal.

abc: 4.4808 4.4808 4.7581
angles: 84.15 84.15 32.18
Site moments in Bohr magnetons follow the coordinates.
Fractional positions:
Fe: 0.0048 0.0048 0.0069  2.17
Fe: 0.7433 0.7433 0.7402  2.43
Li: 0.4973 0.4973 0.5170  -0.04
Tc: 0.2547 0.2547 0.2360  -0.02

Results
Total moment in μB per cell: 4.6
E_form in eV/atom: 0.25
D(E_F) in states/eV/f.u.: 3.4

=====

[25]
Density functional theory data (GGA-PBE) for a relaxed LiFeTc2 crystal.

abc: 4.2081 4.2081 4.2081
angles: 119.95 119.95 90.08
Site moments in Bohr magnetons follow the coordinates.
Fractional positions:
Fe: 0.5000 0.5000 0.0000  2.30
Li: 0.7500 0.2500 0.5000  -0.03
Tc: 0.0000 0.0000 0.0000  0.06
Tc: 0.2500 0.7500 0.5000  -0.01

Results
Total moment in μB per cell: 2.3
Relative energy among the computed polymorphs in meV/atom: 32
E_form in eV/atom: 0.23
D(E_F) in states/eV/f.u.: 4.6

=====

[26]
Density functional theory data (GGA-PBE) for a relaxed LiFe2Tc crystal.

abc: 4.0666 4.0666 4.0666
angles: 119.90 119.90 90.17
Site moments in Bohr magnetons follow the coordinates.
Fractional positions:
Fe: 0.0000 0.0000 0.0000  1.36
Fe: 0.2500 0.7500 0.5000  2.63
Li: 0.5000 0.5000 0.0000  -0.03
Tc: 0.7500 0.2500 0.5000  -0.21

Results
Total moment in μB per cell: 3.8
E_form in eV/atom: 0.24
D(E_F) in states/eV/f.u.: 2.9

=====

[27]
Density functional theory data (GGA-PBE) for a relaxed LiFe2Tc crystal.

abc: 6.4837 6.4837 5.2353
angles: 51.74 51.74 90.00
Fractional positions:
Li: 0.5000 0.5000 0.0000
Li: 0.2500 0.7500 0.5000
Tc: 0.0000 0.0000 0.0000
Tc: 0.7500 0.2500 0.5000
Fe: 0.6560 0.1250 0.2500
Fe: 0.0940 0.6250 0.2500
Fe: 0.3750 0.3440 0.7500
Fe: 0.8750 0.9060 0.7500

Results
Total moment in μB per cell: 0.0
E_form in eV/atom: 0.73
D(E_F) in states/eV/f.u.: 1.5

=====

[28]
Density functional theory data (GGA-PBE) for a relaxed Li4FeTc crystal.

abc: 4.7707 4.7707 4.7707
angles: 60.00 60.00 60.00
Site moments in Bohr magnetons follow the coordinates.
Fractional positions:
Li: 0.6248 0.6248 0.1255  -0.02
Li: 0.6248 0.1255 0.6248  -0.02
Li: 0.6248 0.6248 0.6248  -0.02
Li: 0.1255 0.6248 0.6248  -0.02
Fe: 0.0000 0.0000 0.0000  2.79
Tc: 0.2500 0.2500 0.2500  0.63

Results
Total moment in μB per cell: 3.4
E_form in eV/atom: 0.53
D(E_F) in states/eV/f.u.: 7.8

=====

[29]
Density functional theory data (GGA-PBE) for a relaxed LiFe2Tc crystal.

abc: 3.9934 3.9934 2.9188
angles: 90.00 90.00 90.00
Fractional positions:
Fe: 0.0000 0.0000 0.0000
Fe: 0.5000 0.5000 0.0000
Li: 0.5000 0.0000 0.5000
Tc: 0.0000 0.5000 0.5000

Results
Total moment in μB per cell: 0.0
E_form in eV/atom: 0.35
D(E_F) in states/eV/f.u.: 3.2